Entry 1:
Here is crystalline LaMnB at its relaxed geometry from the Alexandria database. Energies are from GGA-PBE.

The value obtained for the raw total energy is -6.962 eV/atom. The density of states at the Fermi level comes out at 0.977 states/eV per atom. As for the energy relative to the lowest polymorph listed for this composition: 0.186 eV per atom. As for the formation energy from the elements: -3.5 kJ/mol of atoms.

Unit cell a=10.193 b=3.763 c=6.417 alpha=90.00 beta=127.89 gamma=90.00
Element x y z (fractional)
La (0.086, 0.000, 0.363)
La (0.414, 0.500, 0.637)
La (0.586, 0.500, 0.363)
La (0.914, 0.000, 0.637)
Mn (0.246, 0.500, 0.911)
Mn (0.254, 0.000, 0.089)
Mn (0.746, 0.000, 0.911)
Mn (0.754, 0.500, 0.089)
B (0.101, 0.500, 0.044)
B (0.399, 0.000, 0.956)
B (0.601, 0.000, 0.044)
B (0.899, 0.500, 0.956)



Entry 2:
Here is crystalline La3MnB at its relaxed geometry from the Alexandria database. Energies are from GGA-PBE.

The value obtained for the raw total energy is -5.471 eV/atom. The density of states at the Fermi level comes out at 1.199 states/eV per atom. As for the formation energy from the elements: 63.2 kJ/mol of atoms.

Unit cell a=5.081 b=5.081 c=5.081 alpha=90.00 beta=90.00 gamma=90.00
Element x y z (fractional)
La (0.000, 0.000, 0.500)
La (0.000, 0.500, 0.000)
La (0.500, 0.000, 0.000)
Mn (0.000, 0.000, 0.000)
B (0.500, 0.500, 0.500)